<A>
# KRb2H

An optimized crystal structure of KRb2H (PBE, Alexandria).

Properties
- N(E_F) (states/eV/f.u.) = 0.27

Unit cell a=6.7782 b=6.7782 c=6.7782 alpha=60.00 beta=60.00 gamma=60.00
Fractional positions:
1 K 0.0000 0.0000 0.0000
2 Rb 0.2500 0.2500 0.2500
3 Rb 0.7500 0.7500 0.7500
4 H 0.5000 0.5000 0.5000


<B>
# KRb2H

An optimized crystal structure of KRb2H (PBE, Alexandria).

Properties
- N(E_F) (states/eV/f.u.) = 2.50

Unit cell a=12.3680 b=12.3680 c=12.3680 alpha=20.63 beta=20.63 gamma=20.63
Fractional positions:
1 K 0.0000 0.0000 0.0000
2 Rb 0.1188 0.1188 0.1188
3 Rb 0.8812 0.8812 0.8812
4 H 0.5000 0.5000 0.5000


Of all the structures shown, which is most stable? <B>, and <A> is the least stable.